Version P
The following is a GGA-PBE calculation of crystalline Al3Ga2Ag8 at its relaxed geometry, from Alexandria.

a b c (Å): 11.5852 7.5776 5.4403
angles (deg): 90.00 97.78 90.00
Closest atoms and distances in Å follow each position.
Space group C2/m (No. 12)
One atom of each set of equivalent atoms:
1 Al 0.0000 0.0000 0.0000 x2  6 Ag 2.56-2.81, 2 Ga 2.77
2 Al 0.0000 0.1770 0.5000 x4  6 Ag 2.67-2.90, 1 Al 2.68, 2 Ga 2.99
3 Ga 0.2052 0.0000 0.7907 x4  7 Ag 2.61-2.82, 1 Al 2.77
4 Ag 0.0929 0.5000 0.3729 x4  1 Ga 2.61, 2 Ag 2.71-2.88, 2 Al 2.80
5 Ag 0.1182 0.3122 0.9129 x8  2 Al 2.67-2.81, 2 Ga 2.69-2.81, 2 Ag 2.85-2.93
6 Ag 0.1892 0.0000 0.3031 x4  1 Al 2.56, 2 Ga 2.63-2.82

Output
ρ = 7603 kg/m3

Version Q
The following is a GGA-PBE calculation of crystalline Al3Ga2Ag8 at its relaxed geometry, from Alexandria.

a b c (Å): 8.2921 3.9360 8.3709
angles (deg): 90.00 116.29 90.00
Closest atoms and distances in Å follow each position.
Space group P2/m (No. 10)
One atom of each set of equivalent atoms:
1 Al 0.0000 0.0000 0.0000 x1  8 Ag 2.70-2.92, 4 Al 2.92
2 Al 0.2451 0.5000 0.2455 x2  8 Ag 2.68-2.86, 2 Al 2.92
3 Ga 0.2604 0.0000 0.7380 x2  8 Ag 2.65-2.81
4 Ag 0.1096 0.0000 0.3835 x2  2 Ga 2.66-2.77, 3 Al 2.76-2.92, 2 Ag 2.93
5 Ag 0.1316 0.5000 0.8696 x2  2 Ga 2.70, 4 Al 2.70-2.86, 4 Ag 2.92-2.93
6 Ag 0.3829 0.0000 0.1089 x2  2 Ga 2.65-2.81, 3 Al 2.76-2.89, 2 Ag 2.92
7 Ag 0.3940 0.5000 0.6042 x2  2 Al 2.68-2.69, 2 Ga 2.73, 3 Ag 2.97-3.00

Output
ρ = 7344 kg/m3

Order of stability, best first: version P, version Q

Version P
The following is a GGA-PBE calculation of crystalline Al2GaAg5 at its relaxed geometry, from Alexandria.

a b c (Å): 2.9818 9.0168 10.5463
angles (deg): 90.00 90.00 90.00
Closest atoms and distances in Å follow each position.
Space group Immm (No. 71)
One atom of each set of equivalent atoms:
1 Al 0.0000 0.0000 0.2360 x4  7 Ag 2.69-2.86, 2 Ga 2.90, 2 Al 2.98
2 Ga 0.0000 0.5000 0.5000 x2  4 Al 2.90, 2 Ga 2.98, 8 Ag 3.22
3 Ag 0.0000 0.0000 0.5000 x2  2 Al 2.78, 10 Ag 2.90-2.98
4 Ag 0.0000 0.2746 0.1351 x8  3 Al 2.69-2.86, 7 Ag 2.85-2.98

Output
ρ = 7766 kg/m3

Version Q
The following is a GGA-PBE calculation of crystalline Al2GaAg5 at its relaxed geometry, from Alexandria.

a b c (Å): 5.7944 11.1662 4.2318
angles (deg): 90.00 90.00 90.00
Closest atoms and distances in Å follow each position.
Space group Pbam (No. 55)
One atom of each set of equivalent atoms:
1 Al 0.2145 0.1328 0.0000 x4  10 Ag 2.79-2.95, 2 Ga 3.07
2 Ga 0.0000 0.5000 0.5000 x2  8 Ag 2.73-2.90
3 Ag 0.0000 0.0000 0.5000 x2  6 Ag 2.86-2.97, 4 Al 2.87, 2 Ga 2.90
4 Ag 0.0313 0.7441 0.5000 x4  1 Ga 2.73, 4 Al 2.86-2.90, 7 Ag 2.86-2.98
5 Ag 0.2226 0.3822 0.0000 x4  4 Al 2.79-2.95, 2 Ga 2.81, 6 Ag 2.94-2.98

Output
ρ = 8042 kg/m3

Order of stability, best first: version Q, version P

Version P
The following is a GGA-PBE calculation of crystalline AlGa6Ag3 at its relaxed geometry, from Alexandria.

a b c (Å): 6.8281 6.9097 10.4951
angles (deg): 90.00 129.61 90.00
Closest atoms and distances in Å follow each position.
Space group P2_1/c (No. 14)
One atom of each set of equivalent atoms:
1 Al 0.0000 0.0000 0.0000 x2  6 Ga 2.71-2.89, 2 Ag 2.78
2 Ga 0.0610 0.1403 0.4280 x4  1 Al 2.71, 4 Ag 2.74-2.89, 3 Ga 2.82-2.98
3 Ga 0.3072 0.6369 0.4402 x4  1 Al 2.71, 4 Ag 2.71-2.98, 4 Ga 2.81-2.98
4 Ga 0.4644 0.5822 0.2499 x4  3 Ag 2.73-2.84, 3 Ga 2.82-2.97, 1 Al 2.89
5 Ag 0.1817 0.2191 0.7415 x4  8 Ga 2.73-2.98, 1 Al 2.78, 1 Ag 2.89
6 Ag 0.5000 0.0000 0.5000 x2  6 Ga 2.71-2.84, 2 Ag 2.89

Output
ρ = 6694 kg/m3

Version Q
The following is a GGA-PBE calculation of crystalline AlGa6Ag3 at its relaxed geometry, from Alexandria.

a b c (Å): 3.1191 3.1191 21.1806
angles (deg): 90.00 90.00 120.00
Closest atoms and distances in Å follow each position.
Space group P-3m1 (No. 164)
One atom of each set of equivalent atoms:
1 Al 0.0000 0.0000 0.0000 x1  6 Ga 2.76
2 Ga 0.3333 0.6667 0.3017 x2  3 Ga 2.75, 3 Ag 2.80
3 Ga 0.3333 0.6667 0.6004 x2  3 Ga 2.75, 3 Ag 2.79
4 Ga 0.3333 0.6667 0.9010 x2  3 Al 2.76, 3 Ag 2.81
5 Ag 0.0000 0.0000 0.2006 x2  6 Ga 2.80-2.81, 6 Ag 3.12
6 Ag 0.0000 0.0000 0.5000 x1  6 Ga 2.79, 6 Ag 3.12

Output
ρ = 7155 kg/m3

Order of stability, best first: version Q, version P

Version P
The following is a GGA-PBE calculation of crystalline Al8Ga6Ag at its relaxed geometry, from Alexandria.

a b c (Å): 8.3729 8.3729 13.5307
angles (deg): 90.00 90.00 120.00
Closest atoms and distances in Å follow each position.
Space group R-3 (No. 148, hexagonal axes)
One atom of each set of equivalent atoms:
1 Al 0.0000 0.0000 0.2148 x6  6 Al 2.84-2.85, 1 Ag 2.91, 3 Ga 3.12
2 Al 0.0367 0.4170 0.5744 x18  1 Ag 2.63, 3 Ga 2.67-2.80, 3 Al 2.69-2.85
3 Ga 0.0332 0.2139 0.4100 x18  3 Al 2.67-2.80, 5 Ga 2.89-2.97
4 Ag 0.0000 0.0000 0.0000 x3  8 Al 2.63-2.91

Output
ρ = 4500 kg/m3

Version Q
The following is a GGA-PBE calculation of crystalline Al8Ga6Ag at its relaxed geometry, from Alexandria.

a b c (Å): 8.0946 8.0946 4.9497
angles (deg): 90.00 90.00 120.00
Closest atoms and distances in Å follow each position.
Space group P-3 (No. 147)
One atom of each set of equivalent atoms:
1 Al 0.0092 0.6769 0.4316 x6  3 Ga 2.68-2.75, 5 Al 2.74-2.87
2 Al 0.3333 0.6667 0.5971 x2  6 Al 2.78-2.79, 3 Ga 2.86
3 Ga 0.1440 0.4390 0.0609 x6  4 Al 2.68-2.86, 2 Ga 2.96
4 Ag 0.0000 0.0000 0.0000 x1  6 Ga 3.15, 6 Al 3.41

Output
ρ = 4387 kg/m3

Order of stability, best first: version P, version Q

Version P
The following is a GGA-PBE calculation of crystalline AlGa8Ag6 at its relaxed geometry, from Alexandria.

a b c (Å): 7.7690 7.7690 16.6560
angles (deg): 90.00 90.00 120.00
Closest atoms and distances in Å follow each position.
Space group R-3 (No. 148, hexagonal axes)
One atom of each set of equivalent atoms:
1 Al 0.0000 0.0000 0.0000 x3  6 Ag 2.72
2 Ga 0.0000 0.0000 0.3078 x6  6 Ag 2.72-2.81, 3 Ga 3.04
3 Ga 0.0002 0.3362 0.5446 x18  5 Ag 2.67-2.91, 1 Ga 2.95
4 Ag 0.0062 0.6569 0.2822 x18  7 Ga 2.67-2.91, 1 Al 2.72

Output
ρ = 7049 kg/m3

Version Q
The following is a GGA-PBE calculation of crystalline AlGa8Ag6 at its relaxed geometry, from Alexandria.

a b c (Å): 7.6208 7.6208 16.3357
angles (deg): 90.00 90.00 120.00
Closest atoms and distances in Å follow each position.
Space group R-3 (No. 148, hexagonal axes)
One atom of each set of equivalent atoms:
1 Al 0.0000 0.0000 0.0000 x3  6 Ga 2.84, 6 Ag 2.86
2 Ga 0.0000 0.0000 0.4227 x6  1 Ga 2.53, 3 Ag 2.70
3 Ga 0.0574 0.8059 0.1371 x18  3 Ag 2.73-2.99, 1 Al 2.84, 5 Ga 2.90-3.01
4 Ag 0.0383 0.2545 0.7001 x18  4 Ga 2.70-2.99, 1 Al 2.86, 3 Ag 2.93-3.01

Output
ρ = 7470 kg/m3

Order of stability, best first: version Q, version P

Version P
The following is a GGA-PBE calculation of crystalline AlGa6Ag12 at its relaxed geometry, from Alexandria.

a b c (Å): 12.5701 12.5701 7.2993
angles (deg): 90.00 90.00 120.00
Closest atoms and distances in Å follow each position.
Space group R-3 (No. 148, hexagonal axes)
One atom of each set of equivalent atoms:
1 Al 0.0000 0.0000 0.0000 x3  12 Ag 2.87-2.94
2 Ga 0.0305 0.7507 0.3412 x18  9 Ag 2.84-3.04, 3 Ga 2.91-2.99
3 Ag 0.0128 0.8742 0.6686 x18  4 Ga 2.87-2.92, 7 Ag 2.89-2.97, 1 Al 2.94
4 Ag 0.0715 0.5080 0.6661 x18  5 Ga 2.84-3.04, 1 Al 2.87, 6 Ag 2.87-2.96

Output
ρ = 8677 kg/m3

Version Q
The following is a GGA-PBE calculation of crystalline AlGa6Ag12 at its relaxed geometry, from Alexandria.

a b c (Å): 11.7617 11.7617 8.6915
angles (deg): 90.00 90.00 120.00
Closest atoms and distances in Å follow each position.
Space group R-3 (No. 148, hexagonal axes)
One atom of each set of equivalent atoms:
1 Al 0.0000 0.0000 0.0000 x3  12 Ag 2.79-2.86
2 Ga 0.0538 0.2385 0.5589 x18  5 Ag 2.65-2.84, 2 Ga 2.75
3 Ag 0.0447 0.1697 0.2559 x18  3 Ga 2.72-2.84, 1 Al 2.86, 4 Ag 2.91-2.98
4 Ag 0.0625 0.2577 0.9390 x18  2 Ga 2.65-2.75, 1 Al 2.79, 6 Ag 2.86-2.94

Output
ρ = 8323 kg/m3

Order of stability, best first: version P, version Q

Version P
The following is a GGA-PBE calculation of crystalline AlGa3Ag3 at its relaxed geometry, from Alexandria.

a b c (Å): 7.8316 8.2317 8.2370
angles (deg): 92.87 91.94 91.91
Closest atoms and distances in Å follow each position.
Space group P1 (No. 1)
One atom of each set of equivalent atoms:
1 Al 0.0000 0.0000 0.0000 x1  3 Ag 2.73-2.84, 3 Ga 2.75-2.95, 2 Al 2.79-2.83
2 Al 0.0001 0.2370 0.7626 x1  3 Ag 2.73-2.84, 3 Ga 2.75-2.95, 2 Al 2.80-2.83
3 Al 0.2531 0.4987 0.2606 x1  6 Ga 2.79-2.88, 3 Ag 2.84-2.85
4 Al 0.7601 0.2439 0.0063 x1  3 Ag 2.71-2.81, 2 Al 2.79-2.80, 4 Ga 2.80-2.95
5 Ga 0.0051 0.4858 0.4971 x1  4 Ga 2.72-2.98, 5 Ag 2.75-2.98, 1 Al 2.80
6 Ga 0.0050 0.7348 0.2480 x1  4 Ga 2.72-2.98, 5 Ag 2.75-2.98, 1 Al 2.80
7 Ga 0.2388 0.2485 0.4932 x1  3 Ga 2.72-3.01, 5 Ag 2.77-2.97, 2 Al 2.88-2.95
8 Ga 0.2389 0.7311 0.0106 x1  3 Ga 2.72-3.01, 5 Ag 2.77-2.97, 2 Al 2.88-2.95
9 Ga 0.2470 0.0054 0.7679 x1  5 Ag 2.74-2.91, 2 Al 2.76-2.77, 2 Ga 2.98-2.99
10 Ga 0.4848 0.2485 0.2419 x1  5 Ag 2.74-2.95, 3 Ga 2.76-3.01, 2 Al 2.79-2.95
11 Ga 0.4851 0.4800 0.0105 x1  5 Ag 2.74-2.95, 3 Ga 2.76-3.01, 2 Al 2.79-2.95
12 Ga 0.5103 0.9994 0.5141 x1  5 Ag 2.74-2.99, 5 Ga 2.85-3.07
13 Ga 0.5105 0.7516 0.7616 x1  5 Ag 2.74-2.99, 5 Ga 2.85-3.07
14 Ga 0.7534 0.7494 0.5119 x1  5 Ag 2.74-3.03, 4 Ga 2.85-2.98
15 Ga 0.7723 0.0143 0.2465 x1  2 Al 2.75-2.80, 5 Ag 2.76-2.95, 3 Ga 2.98-3.07
16 Ga 0.7728 0.4838 0.7765 x1  2 Al 2.75-2.80, 5 Ag 2.76-2.96, 3 Ga 2.98-3.07
17 Ag 0.2395 0.4866 0.7657 x1  1 Al 2.73, 5 Ga 2.74-2.99, 3 Ag 2.92-3.01
18 Ag 0.2397 0.0034 0.2491 x1  1 Al 2.73, 5 Ga 2.74-2.99, 3 Ag 2.92-3.01
19 Ag 0.2544 0.7492 0.5117 x1  5 Ga 2.82-2.91, 1 Al 2.85, 6 Ag 2.91-3.09
20 Ag 0.5021 0.2416 0.7611 x1  5 Ga 2.75-2.97, 1 Al 2.81, 4 Ag 2.90-3.00
21 Ag 0.5020 0.9987 0.0040 x1  5 Ga 2.74-2.97, 1 Al 2.81, 4 Ag 2.90-3.00
22 Ag 0.5082 0.4967 0.5134 x1  5 Ga 2.78-2.96, 1 Al 2.84, 6 Ag 2.88-3.03
23 Ag 0.5084 0.7512 0.2593 x1  5 Ga 2.78-2.95, 1 Al 2.84, 6 Ag 2.88-3.03
24 Ag 0.7543 0.2442 0.5013 x1  5 Ga 2.74-2.95, 4 Ag 2.84-2.96, 1 Al 2.84
25 Ag 0.7542 0.7386 0.0067 x1  5 Ga 2.74-2.95, 4 Ag 2.84-2.96, 1 Al 2.84
26 Ag 0.7635 0.4827 0.2453 x1  1 Al 2.71, 5 Ga 2.76-3.03, 4 Ag 2.95-3.03
27 Ag 0.9971 0.7482 0.7589 x1  5 Ga 2.74-2.98, 1 Al 2.80, 4 Ag 2.84-2.96
28 Ag 0.9973 0.9963 0.5103 x1  5 Ga 2.74-2.98, 1 Al 2.80, 4 Ag 2.84-2.96

Output
ρ = 7019 kg/m3

Version Q
The following is a GGA-PBE calculation of crystalline AlGa3Ag3 at its relaxed geometry, from Alexandria.

a b c (Å): 7.2209 7.2209 7.2209
angles (deg): 90.00 90.00 90.00
Closest atoms and distances in Å follow each position.
Space group Pm-3n (No. 223)
One atom of each set of equivalent atoms:
1 Al 0.0000 0.0000 0.0000 x2  12 Ga 4.04, 12 Ag 4.04
2 Ga 0.0000 0.2500 0.5000 x6  4 Ag 2.55
3 Ag 0.0000 0.5000 0.2500 x6  4 Ga 2.55

Output
ρ = 4938 kg/m3

Order of stability, best first: version P, version Q

Version P
The following is a GGA-PBE calculation of crystalline Al3GaAg at its relaxed geometry, from Alexandria.

a b c (Å): 4.8839 4.8839 4.8839
angles (deg): 90.00 90.00 90.00
Closest atoms and distances in Å follow each position.
Space group Pm-3m (No. 221)
One atom of each set of equivalent atoms:
1 Al 0.0000 0.0000 0.5000 x3  2 Ag 2.44
2 Ga 0.5000 0.5000 0.5000 x1  12 Al 3.45
3 Ag 0.0000 0.0000 0.0000 x1  6 Al 2.44

Output
ρ = 3685 kg/m3

Version Q
The following is a GGA-PBE calculation of crystalline Al3GaAg at its relaxed geometry, from Alexandria.

a b c (Å): 11.2002 5.9429 11.1676
angles (deg): 90.00 92.44 90.00
Closest atoms and distances in Å follow each position.
Space group C2/c (No. 15)
One atom of each set of equivalent atoms:
1 Al 0.0078 0.2299 0.0160 x8  2 Ga 2.62-2.85, 2 Ag 2.63-2.73, 3 Al 2.76-2.91
2 Al 0.1205 0.0900 0.8115 x8  2 Ag 2.65-2.68, 2 Al 2.78-2.88, 2 Ga 2.81-2.86
3 Al 0.1996 0.4042 0.3659 x8  2 Ag 2.59-2.64, 2 Ga 2.63-2.80, 1 Al 2.88
4 Ga 0.1433 0.4257 0.6367 x8  6 Al 2.62-2.86, 2 Ag 2.73-2.76
5 Ag 0.0000 0.2789 0.2500 x4  6 Al 2.63-2.65, 2 Ga 2.73
6 Ag 0.2500 0.2500 0.0000 x4  6 Al 2.59-2.73, 2 Ga 2.76

Output
ρ = 4625 kg/m3

Version R
The following is a GGA-PBE calculation of crystalline Al3GaAg at its relaxed geometry, from Alexandria.

a b c (Å): 4.8718 4.8718 4.8718
angles (deg): 90.00 90.00 90.00
Closest atoms and distances in Å follow each position.
Space group Pm-3m (No. 221)
One atom of each set of equivalent atoms:
1 Al 0.0000 0.0000 0.5000 x3  2 Ga 2.44
2 Ga 0.0000 0.0000 0.0000 x1  6 Al 2.44
3 Ag 0.5000 0.5000 0.5000 x1  12 Al 3.44

Output
ρ = 3713 kg/m3

Order of stability, best first: version Q, version P, version R